# 1
A geometry-optimized LiNd2Ag3 structure, computed with PBE.

```
12
Lattice="0.000 4.816 8.332 3.503 0.000 8.332 3.503 4.816 0.000" Properties=species:S:1:pos:R:3 pbc="T T T"
Li 3.503 4.816 2.785
Li 3.503 4.816 13.879
Nd 1.752 2.408 4.166
Nd 5.232 4.816 8.332
Nd 1.775 4.816 8.332
Nd 5.255 7.223 12.497
Ag 3.503 2.334 6.904
Ag 3.503 2.334 9.759
Ag 3.503 4.816 5.482
Ag 3.503 4.816 11.181
Ag 3.503 7.297 6.904
Ag 3.503 7.297 9.759
```

## Properties
As for the calculated total energy: -0.26029 Ry per atom.

# 2
A geometry-optimized LiNdAg structure, computed with PBE.

```
6
Lattice="3.629 0.000 0.000 0.000 3.652 0.000 0.000 0.000 10.590" Properties=species:S:1:pos:R:3 pbc="T T T"
Li 0.907 0.913 0.739
Li 2.722 2.739 9.851
Nd 0.907 0.913 3.986
Nd 2.722 2.739 6.603
Ag 0.907 0.913 8.528
Ag 2.722 2.739 2.062
```

## Properties
The energy above the lowest structure with this stoichiometry comes out at 0 meV per atom. As for the calculated total energy: -0.24458 Ry per atom.

# 3
A geometry-optimized Li2NdAg3 structure, computed with PBE.

```
12
Lattice="4.596 0.000 0.000 -2.298 3.980 0.000 0.000 0.000 13.396" Properties=species:S:1:pos:R:3 pbc="T T T"
Li 0.000 2.654 0.952
Li 0.000 2.654 5.746
Li 2.298 1.327 7.650
Li 2.298 1.327 12.444
Nd 0.000 0.000 3.349
Nd 0.000 0.000 10.047
Ag 0.000 0.000 0.000
Ag 0.000 0.000 6.698
Ag 0.000 2.654 8.372
Ag 0.000 2.654 11.722
Ag 2.298 1.327 1.674
Ag 2.298 1.327 5.024
```

## Properties
As for the calculated total energy: -0.22461 Ry per atom.

# 4
A geometry-optimized Li4NdAg4 structure, computed with PBE.

```
18
Lattice="6.286 0.000 0.000 0.000 6.286 0.000 0.000 0.000 8.853" Properties=species:S:1:pos:R:3 pbc="T T T"
Li 0.132 1.572 1.342
Li 1.572 0.132 5.769
Li 1.572 3.011 5.769
Li 3.011 1.572 1.342
Li 3.275 4.715 7.510
Li 4.715 3.275 3.084
Li 4.715 6.154 3.084
Li 6.154 4.715 7.510
Nd 1.572 4.715 2.213
Nd 4.715 1.572 6.640
Ag 0.193 1.572 3.981
Ag 1.572 0.193 8.407
Ag 1.572 2.950 8.407
Ag 2.950 1.572 3.981
Ag 3.336 4.715 4.872
Ag 4.715 3.336 0.445
Ag 4.715 6.093 0.445
Ag 6.093 4.715 4.872
```

## Properties
As for the calculated total energy: -0.20210 Ry per atom.